# Na2ZnCuO4 (GGA-PBE, optimized geometry)
# - Formation energy from raw total energies: -81 kJ/mol of atoms
# - Magnetic moment: 0.99 μB per formula unit
# - Volume: 197.1 Å³ per cell
# - Total DFT energy (no corrections): -4.317 eV/atom
data_Na2ZnCuO4
_symmetry_space_group_name_H-M 'I -4 2 m'
_symmetry_Int_Tables_number 121
_symmetry_space_group_name_Hall 'I -4 2'
_cell_length_a 5.9064
_cell_length_b 5.9064
_cell_length_c 5.6500
_cell_angle_alpha 90.00
_cell_angle_beta 90.00
_cell_angle_gamma 90.00
loop_
_atom_site_label
_atom_site_type_symbol
_atom_site_fract_x
_atom_site_fract_y
_atom_site_fract_z
Na1 Na 0.0000 0.5000 0.0000
Zn1 Zn 0.0000 0.0000 0.0000
Cu1 Cu 0.0000 0.0000 0.5000
O1 O 0.1564 0.1564 0.2650

# NaZnCuO2 (GGA-PBE, optimized geometry)
# - Formation energy from raw total energies: -103 kJ/mol of atoms
# - Magnetic moment: 0.00 μB per formula unit
# - Volume: 146.1 Å³ per cell
# - Total DFT energy (no corrections): -4.387 eV/atom
data_NaZnCuO2
_symmetry_space_group_name_H-M 'P 1 2/c 1'
_symmetry_Int_Tables_number 13
_symmetry_space_group_name_Hall '-P 2yc'
_cell_length_a 5.5625
_cell_length_b 4.6388
_cell_length_c 5.7102
_cell_angle_alpha 90.00
_cell_angle_beta 97.30
_cell_angle_gamma 90.00
loop_
_atom_site_label
_atom_site_type_symbol
_atom_site_fract_x
_atom_site_fract_y
_atom_site_fract_z
Na1 Na 0.0000 0.1790 0.2500
Zn1 Zn 0.5000 0.0203 0.7500
Cu1 Cu 0.5000 0.5000 0.0000
O1 O 0.2866 0.1884 0.9827

# Na2ZrCuO4 (GGA-PBE, optimized geometry)
# - Formation energy from raw total energies: -182 kJ/mol of atoms
# - Magnetic moment: 1.00 μB per formula unit
# - Volume: 217.5 Å³ per cell
# - Total DFT energy (no corrections): -6.273 eV/atom
data_Na2ZrCuO4
_symmetry_space_group_name_H-M 'I -4'
_symmetry_Int_Tables_number 82
_symmetry_space_group_name_Hall 'I -4'
_cell_length_a 5.7029
_cell_length_b 5.7029
_cell_length_c 6.6890
_cell_angle_alpha 90.00
_cell_angle_beta 90.00
_cell_angle_gamma 90.00
loop_
_atom_site_label
_atom_site_type_symbol
_atom_site_fract_x
_atom_site_fract_y
_atom_site_fract_z
Na1 Na 0.0000 0.0000 0.0000
Na2 Na 0.0000 0.5000 0.2500
Zr1 Zr 0.0000 0.5000 0.7500
Cu1 Cu 0.0000 0.0000 0.5000
O1 O 0.1839 0.2746 0.5803

# NaCuOs2S (GGA-PBE, optimized geometry)
# - Formation energy from raw total energies: 83 kJ/mol of atoms
# - Magnetic moment: 0.00 μB per formula unit
# - Volume: 85.7 Å³ per cell
# - Total DFT energy (no corrections): -5.544 eV/atom
data_NaCuOs2S
_symmetry_space_group_name_H-M 'P 4/m m m'
_symmetry_Int_Tables_number 123
_symmetry_space_group_name_Hall '-P 4 2'
_cell_length_a 4.3577
_cell_length_b 4.3577
_cell_length_c 4.5105
_cell_angle_alpha 90.00
_cell_angle_beta 90.00
_cell_angle_gamma 90.00
loop_
_atom_site_label
_atom_site_type_symbol
_atom_site_fract_x
_atom_site_fract_y
_atom_site_fract_z
Na1 Na 0.0000 0.0000 0.0000
Cu1 Cu 0.5000 0.5000 0.0000
Os1 Os 0.0000 0.5000 0.5000
S1 S 0.5000 0.5000 0.5000

Question: Number 4 is which compound?
Answer: NaCuOs2S

Question: Number 2 is which compound?
Answer: NaZnCuO2